1.
CePa4: optimized geometry, PBE-GGA.

Lattice parameters (Å, degrees): 5.2955 5.2955 5.2955 90.00 90.00 90.00
Site moments in Bohr magnetons follow the coordinates.
Sites, in units of the cell vectors:
1 Pa 0.5000 0.0000 0.5000  -0.07
2 Ce 0.5000 0.5000 0.5000  -0.14
3 Pa 0.0000 0.0000 0.0000  0.45
4 Pa 0.0000 0.5000 0.5000  -0.07
5 Pa 0.5000 0.5000 0.0000  -0.07

SG	Pm-3m, No. 221
VASP energy	-39.0	eV for the cell shown
spin magnetization	0.1	Bohr magnetons per cell
volume	148.5	Å³/cell
E_form	0.980	eV per atom
E above lowest polymorph	0.886	eV/atom

***

2.
ZrTlPb: optimized geometry, PBE-GGA.

Lattice parameters (Å, degrees): 7.9556 7.9556 7.9556 156.44 156.44 33.56
Sites, in units of the cell vectors:
1 Zr 0.6695 0.6695 0.0000
2 Tl 0.3163 0.3163 0.0000
3 Pb 0.0142 0.0142 0.0000

SG	I4mm, No. 107
VASP energy	-14.2	eV for the cell shown
spin magnetization	0.0	Bohr magnetons per cell
volume	80.4	Å³/cell
E_form	0.129	eV per atom
E above lowest polymorph	0.044	eV/atom

***

3.
La2PmMg6: optimized geometry, PBE-GGA.

Lattice parameters (Å, degrees): 3.3864 9.2635 9.2635 60.01 90.00 90.00
Sites, in units of the cell vectors:
1 La 0.0000 0.3333 0.3333
2 Mg 0.5000 0.6692 0.3308
3 Mg 0.5000 0.3308 0.6692
4 Pm 0.0000 0.0000 0.0000
5 Mg 0.5010 0.0000 0.3307
6 Mg 0.4990 0.0000 0.6693
7 Mg 0.5010 0.3307 0.0000
8 Mg 0.4990 0.6693 0.0000
9 La 0.0000 0.6667 0.6667

SG	P6/mmm, No. 191
VASP energy	-25.1	eV for the cell shown
spin magnetization	0.0	Bohr magnetons per cell
volume	251.7	Å³/cell
E_form	-0.105	eV per atom

***

4.
Te4Pd3Br2: optimized geometry, PBE-GGA.

Lattice parameters (Å, degrees): 5.6388 5.6388 9.6284 100.73 100.73 111.37
Sites, in units of the cell vectors:
1 Br 0.6710 0.6710 0.3419
2 Te 0.2934 0.9335 0.2269
3 Pd 0.0000 0.5000 0.0000
4 Te 0.0665 0.7066 0.7731
5 Te 0.9335 0.2934 0.2269
6 Br 0.3290 0.3290 0.6581
7 Pd 0.0000 0.0000 0.0000
8 Te 0.7066 0.0665 0.7731
9 Pd 0.5000 0.0000 0.0000

SG	Fmmm, No. 69
VASP energy	-33.4	eV for the cell shown
spin magnetization	0.0	Bohr magnetons per cell
volume	269.1	Å³/cell
formation energy from raw total energies	-1.86	eV per formula unit

***

5.
Zr9Ti4Zn11: optimized geometry, PBE-GGA.

Lattice parameters (Å, degrees): 3.0606 11.9463 11.9463 96.38 90.00 90.00
Sites, in units of the cell vectors:
1 Zn 0.0000 0.8250 0.1750
2 Zr 0.5000 0.0319 0.2066
3 Zn 0.0000 0.7603 0.7603
4 Zn 0.0000 0.5854 0.9256
5 Zr 0.5000 0.7934 0.9681
6 Zn 0.0000 0.1750 0.8250
7 Zn 0.0000 0.3588 0.6412
8 Zn 0.0000 0.9256 0.5854
9 Zr 0.5000 0.5000 0.5000
10 Zr 0.5000 0.2066 0.0319
11 Zn 0.0000 0.6412 0.3588
12 Zn 0.0000 0.0000 0.0000
13 Ti 0.5000 0.2710 0.4309
14 Zr 0.5000 0.8603 0.3819
15 Zr 0.5000 0.3819 0.8603
16 Zr 0.5000 0.6181 0.1397
17 Zn 0.0000 0.2397 0.2397
18 Ti 0.5000 0.5691 0.7290
19 Zn 0.0000 0.4146 0.0744
20 Ti 0.5000 0.4309 0.2710
21 Zr 0.5000 0.1397 0.6181
22 Ti 0.5000 0.7290 0.5691
23 Zn 0.0000 0.0744 0.4146
24 Zr 0.5000 0.9681 0.7934

SG	Cmmm, No. 65
VASP energy	-126.4	eV for the cell shown
spin magnetization	0.0	Bohr magnetons per cell
volume	434.1	Å³/cell
E_form	-0.160	eV per atom

***

6.
KLiO: optimized geometry, PBE-GGA.

Lattice parameters (Å, degrees): 3.9132 3.9132 3.9132 70.65 70.65 70.65
Sites, in units of the cell vectors:
1 K 0.3782 0.3782 0.3782
2 O 0.0808 0.0808 0.0808
3 Li 0.8712 0.8712 0.8712

SG	R3m, No. 160
VASP energy	-11.3	eV for the cell shown
spin magnetization	0.0	Bohr magnetons per cell
volume	51.7	Å³/cell
formation energy from raw total energies	-3.34	eV per formula unit

***

7.
ErNiTe: optimized geometry, PBE-GGA.

Lattice parameters (Å, degrees): 4.2486 8.2493 8.2493 90.00 90.00 90.00
Sites, in units of the cell vectors:
1 Ni 0.5000 0.1901 0.7301
2 Te 0.5000 0.2806 0.0313
3 Er 0.5000 0.2204 0.4104
4 Te 0.0000 0.9687 0.2806
5 Ni 0.0000 0.2699 0.1901
6 Ni 0.0000 0.7301 0.8099
7 Te 0.0000 0.0313 0.7194
8 Ni 0.5000 0.8099 0.2699
9 Te 0.5000 0.7194 0.9687
10 Er 0.0000 0.5896 0.2204
11 Er 0.5000 0.7796 0.5896
12 Er 0.0000 0.4104 0.7796

SG	P4_2/m, No. 84
VASP energy	-60.2	eV for the cell shown
spin magnetization	0.0	Bohr magnetons per cell
volume	289.1	Å³/cell
formation energy from raw total energies	-1.58	eV per formula unit

***

8.
Y3Zn9Ag2: optimized geometry, PBE-GGA.

Lattice parameters (Å, degrees): 4.4175 8.2694 8.2694 64.54 74.51 74.51
Sites, in units of the cell vectors:
1 Zn 0.6641 0.6957 0.9760
2 Y 0.7060 0.2940 0.2940
3 Y 0.0000 0.0000 0.0000
4 Y 0.2940 0.7060 0.7060
5 Ag 0.5000 0.3131 0.6869
6 Zn 0.1376 0.5808 0.1440
7 Zn 0.0000 0.5000 0.5000
8 Zn 0.3359 0.3043 0.0240
9 Zn 0.6641 0.9760 0.6957
10 Ag 0.5000 0.6869 0.3131
11 Zn 0.1376 0.1440 0.5808
12 Zn 0.8624 0.4192 0.8560
13 Zn 0.8624 0.8560 0.4192
14 Zn 0.3359 0.0240 0.3043

SG	Immm, No. 71
VASP energy	-41.1	eV for the cell shown
spin magnetization	0.0	Bohr magnetons per cell
volume	258.8	Å³/cell
E_form	-0.322	eV per atom

***

9.
LiMn3Tl: optimized geometry, PBE-GGA.

Lattice parameters (Å, degrees): 4.3608 4.3608 4.3608 90.00 90.00 90.00
Site moments in Bohr magnetons follow the coordinates.
Sites, in units of the cell vectors:
1 Mn 0.0000 0.5000 0.0000  3.27
2 Tl 0.5000 0.5000 0.5000  -0.15
3 Mn 0.5000 0.0000 0.0000  3.23
4 Li 0.0000 0.0000 0.0000  -0.11
5 Mn 0.0000 0.0000 0.5000  3.57

SG	Pm-3m, No. 221
VASP energy	-27.1	eV for the cell shown
spin magnetization	9.9	Bohr magnetons per cell
volume	82.9	Å³/cell
E_form	0.931	eV per atom
E above lowest polymorph	0.000	eV/atom

***

10.
Ca4MgHg15: optimized geometry, PBE-GGA.

Lattice parameters (Å, degrees): 4.7510 4.7510 22.4666 90.00 90.00 90.00
Sites, in units of the cell vectors:
1 Hg 0.5000 0.5000 0.8074
2 Hg 0.5000 0.5000 0.3989
3 Ca 0.0000 0.0000 0.8090
4 Hg 0.0000 0.5000 0.9085
5 Hg 0.5000 0.0000 0.5000
6 Hg 0.5000 0.0000 0.2949
7 Hg 0.5000 0.5000 0.0000
8 Ca 0.0000 0.0000 0.1910
9 Hg 0.0000 0.5000 0.2949
10 Hg 0.5000 0.5000 0.6011
11 Hg 0.5000 0.0000 0.0915
12 Hg 0.0000 0.5000 0.5000
13 Hg 0.5000 0.0000 0.7051
14 Mg 0.0000 0.0000 0.0000
15 Hg 0.0000 0.5000 0.7051
16 Ca 0.0000 0.0000 0.3974
17 Hg 0.5000 0.0000 0.9085
18 Hg 0.5000 0.5000 0.1926
19 Hg 0.0000 0.5000 0.0915
20 Ca 0.0000 0.0000 0.6026

SG	P4/mmm, No. 123
VASP energy	-20.6	eV for the cell shown
spin magnetization	0.0	Bohr magnetons per cell
volume	507.1	Å³/cell
E_form	-0.322	eV per atom

***

11.
KGaRe2: optimized geometry, PBE-GGA.

Lattice parameters (Å, degrees): 4.6256 4.6256 9.8889 76.47 76.47 90.00
Sites, in units of the cell vectors:
1 Re 0.8067 0.6250 0.2500
2 K 0.5000 0.5000 0.0000
3 Ga 0.7500 0.2500 0.5000
4 Ga 0.0000 0.0000 0.0000
5 K 0.2500 0.7500 0.5000
6 Re 0.3750 0.0567 0.7500
7 Re 0.8750 0.1933 0.7500
8 Re 0.9433 0.1250 0.2500

SG	I-42d, No. 122
VASP energy	-47.5	eV for the cell shown
spin magnetization	0.0	Bohr magnetons per cell
volume	199.7	Å³/cell
E_form	1.318	eV per atom

***

12.
TiIn3F6: optimized geometry, PBE-GGA.

Lattice parameters (Å, degrees): 5.8897 5.8897 6.9407 109.56 109.56 102.18
Site moments in Bohr magnetons follow the coordinates.
Sites, in units of the cell vectors:
1 In 0.5000 0.5000 0.0000  0.00
2 In 0.2500 0.7500 0.5000  0.01
3 F 0.0680 0.0680 0.7634  0.00
4 F 0.9320 0.9320 0.2366  0.00
5 Ti 0.0000 0.0000 0.0000  0.37
6 F 0.7935 0.2065 0.0000  -0.01
7 F 0.6955 0.6955 0.7634  0.00
8 In 0.7500 0.2500 0.5000  0.01
9 F 0.2065 0.7935 0.0000  -0.01
10 F 0.3045 0.3045 0.2366  0.00

SG	Fmmm, No. 69
VASP energy	-50.6	eV for the cell shown
spin magnetization	0.4	Bohr magnetons per cell
volume	199.1	Å³/cell
formation energy from raw total energies	-23.30	eV per formula unit

***

13.
SmMg3Hg: optimized geometry, PBE-GGA.

Lattice parameters (Å, degrees): 4.2338 9.4593 12.5855 90.00 90.00 90.00
Sites, in units of the cell vectors:
1 Mg 0.7500 0.4368 0.9093
2 Sm 0.2500 0.1673 0.0023
3 Mg 0.2500 0.4088 0.7181
4 Hg 0.7500 0.3618 0.1272
5 Mg 0.7500 0.1500 0.7904
6 Hg 0.7500 0.8618 0.3728
7 Mg 0.2500 0.3500 0.2904
8 Sm 0.7500 0.8327 0.9977
9 Mg 0.2500 0.0632 0.4093
10 Sm 0.2500 0.6673 0.4977
11 Mg 0.2500 0.5632 0.0907
12 Mg 0.2500 0.9088 0.7819
13 Mg 0.7500 0.5912 0.2819
14 Mg 0.7500 0.6500 0.7096
15 Mg 0.7500 0.0912 0.2181
16 Hg 0.2500 0.1382 0.6272
17 Mg 0.7500 0.9368 0.5907
18 Hg 0.2500 0.6382 0.8728
19 Sm 0.7500 0.3327 0.5023
20 Mg 0.2500 0.8500 0.2096

SG	Pnma, No. 62
VASP energy	-43.1	eV for the cell shown
spin magnetization	0.0	Bohr magnetons per cell
volume	504.0	Å³/cell
E_form	-0.192	eV per atom

***

14.
CsRbCo2Br6: optimized geometry, PBE-GGA.

Lattice parameters (Å, degrees): 9.6612 9.6612 10.8844 103.69 103.69 101.18
Site moments in Bohr magnetons follow the coordinates.
Sites, in units of the cell vectors:
1 Co 0.6923 0.8558 0.2929  2.38
2 Co 0.3077 0.1442 0.7071  2.38
3 Co 0.1442 0.3077 0.2071  2.38
4 Br 0.5104 0.3025 0.8801  0.12
5 Br 0.3025 0.5104 0.3801  0.12
6 Br 0.7712 0.8905 0.8749  0.13
7 Br 0.1095 0.2288 0.6251  0.13
8 Br 0.9275 0.3597 0.1081  0.12
9 Br 0.0725 0.6403 0.8919  0.12
10 Rb 0.2031 0.7969 0.2500  0.00
11 Co 0.8558 0.6923 0.7929  2.38
12 Cs 0.6112 0.3888 0.2500  0.00
13 Br 0.8905 0.7712 0.3749  0.13
14 Br 0.2288 0.1095 0.1251  0.13
15 Br 0.3597 0.9275 0.6081  0.12
16 Br 0.6403 0.0725 0.3919  0.12
17 Cs 0.3888 0.6112 0.7500  0.00
18 Rb 0.7969 0.2031 0.7500  0.00
19 Br 0.4896 0.6975 0.1199  0.12
20 Br 0.6975 0.4896 0.6199  0.12

SG	C2/c, No. 15
VASP energy	-68.2	eV for the cell shown
spin magnetization	12.0	Bohr magnetons per cell
volume	924.8	Å³/cell
formation energy from raw total energies	-8.02	eV per formula unit

***

15.
AlMo4Pt: optimized geometry, PBE-GGA.

Lattice parameters (Å, degrees): 5.1945 5.1945 5.1945 60.00 60.00 60.00
Sites, in units of the cell vectors:
1 Al 0.0000 0.0000 0.0000
2 Mo 0.3743 0.8772 0.3743
3 Pt 0.7500 0.7500 0.7500
4 Mo 0.3743 0.3743 0.8772
5 Mo 0.8772 0.3743 0.3743
6 Mo 0.3743 0.3743 0.3743

SG	F-43m, No. 216
VASP energy	-51.7	eV for the cell shown
spin magnetization	0.0	Bohr magnetons per cell
volume	99.1	Å³/cell
E_form	0.240	eV per atom

***

16.
HfTa2Bi: optimized geometry, PBE-GGA.

Lattice parameters (Å, degrees): 4.1327 4.1327 10.9124 79.08 79.08 90.00
Sites, in units of the cell vectors:
1 Ta 0.8750 0.8710 0.7500
2 Ta 0.1290 0.6250 0.2500
3 Bi 0.0000 0.0000 0.0000
4 Ta 0.3750 0.3790 0.7500
5 Bi 0.7500 0.2500 0.5000
6 Ta 0.6210 0.1250 0.2500
7 Hf 0.2500 0.7500 0.5000
8 Hf 0.5000 0.5000 0.0000

SG	I-42d, No. 122
VASP energy	-70.1	eV for the cell shown
spin magnetization	0.0	Bohr magnetons per cell
volume	179.6	Å³/cell
E_form	0.619	eV per atom

***

17.
CaZrTa2As: optimized geometry, PBE-GGA.

Lattice parameters (Å, degrees): 4.7366 5.0917 4.7366 90.00 90.00 90.00
Sites, in units of the cell vectors:
1 Ta 0.0000 0.0000 0.5000
2 As 0.5000 0.5000 0.5000
3 Ta 0.5000 0.0000 0.0000
4 Zr 0.0000 0.5000 0.0000
5 Ca 0.0000 0.0000 0.0000

SG	P4/mmm, No. 123
VASP energy	-27.8	eV for the cell shown
spin magnetization	0.0	Bohr magnetons per cell
volume	114.2	Å³/cell
E_form	2.227	eV per atom

***

18.
Mn2HgRu: optimized geometry, PBE-GGA.

Lattice parameters (Å, degrees): 4.4442 4.4442 4.4442 60.00 60.00 60.00
Site moments in Bohr magnetons follow the coordinates.
Sites, in units of the cell vectors:
1 Hg 0.5000 0.5000 0.5000  -0.04
2 Ru 0.2500 0.2500 0.2500  -0.44
3 Mn 0.7500 0.7500 0.7500  3.49
4 Mn 0.0000 0.0000 0.0000  2.96

SG	F-43m, No. 216
VASP energy	-26.0	eV for the cell shown
spin magnetization	6.1	Bohr magnetons per cell
volume	62.1	Å³/cell
E_form	0.486	eV per atom

***

19.
Sr4Zn3Pt: optimized geometry, PBE-GGA.

Lattice parameters (Å, degrees): 4.5207 4.5440 11.8136 90.00 90.00 90.00
Sites, in units of the cell vectors:
1 Zn 0.5000 0.0000 0.9474
2 Zn 0.0000 0.0000 0.4384
3 Sr 0.5000 0.0000 0.6440
4 Sr 0.0000 0.0000 0.1404
5 Sr 0.0000 0.5000 0.8704
6 Sr 0.5000 0.5000 0.3441
7 Pt 0.5000 0.5000 0.0595
8 Zn 0.0000 0.5000 0.5559

SG	Pmm2, No. 25
VASP energy	-19.9	eV for the cell shown
spin magnetization	0.0	Bohr magnetons per cell
volume	242.7	Å³/cell
E_form	-0.409	eV per atom

***

20.
V5SiP: optimized geometry, PBE-GGA.

Lattice parameters (Å, degrees): 4.5636 4.5636 9.1987 98.03 98.03 90.16
Sites, in units of the cell vectors:
1 V 0.4964 0.7560 0.0334
2 P 0.0000 0.0000 0.0000
3 V 0.4616 0.9645 0.3644
4 V 0.9645 0.4616 0.8644
5 P 0.0000 0.0000 0.5000
6 V 0.5036 0.2440 0.9666
7 V 0.7560 0.4964 0.5334
8 V 0.5384 0.0355 0.6356
9 Si 0.5539 0.4461 0.2500
10 V 0.0355 0.5384 0.1356
11 V 0.9350 0.0650 0.2500
12 V 0.2440 0.5036 0.4666
13 Si 0.4461 0.5539 0.7500
14 V 0.0650 0.9350 0.7500

SG	C2/c, No. 15
VASP energy	-117.0	eV for the cell shown
spin magnetization	0.0	Bohr magnetons per cell
volume	187.8	Å³/cell
formation energy from raw total energies	-2.08	eV per formula unit